Record 1
KTlSnAs: relaxed, PBE-GGA.

abc: 4.0387 4.0387 28.8372
angles: 90.00 90.00 120.00
Space group R3m (No. 160, hexagonal axes)
Symmetry-distinct sites (fractional):
1 K 0.0000 0.0000 0.0000 (multiplicity 3)
2 Tl 0.0000 0.0000 0.2358 (multiplicity 3)
3 Sn 0.0000 0.0000 0.1315 (multiplicity 3)
4 As 0.0000 0.0000 0.7504 (multiplicity 3)

Output
Mass density   5.35 g/cm3
Energy of formation from the pure elements   -0.76 eV per formula unit
Magnetization   0.0 Bohr magnetons per cell


Record 2
K2ZnSnAs: relaxed, PBE-GGA.

abc: 6.782 6.782 4.886
angles: 90.00 90.00 90.00
Space group P4/mmm (No. 123)
Symmetry-distinct sites (fractional):
1 K 0.000 0.500 0.000 (multiplicity 2)
2 Zn 0.000 0.000 0.500 (multiplicity 1)
3 Sn 0.000 0.000 0.000 (multiplicity 1)
4 As 0.500 0.500 0.500 (multiplicity 1)

Output
Mass density   2.49 g/cm3
Energy of formation from the pure elements   2.00 eV per formula unit
Magnetization   2.7 Bohr magnetons per cell


Record 3
K2ZrSnAs: relaxed, PBE-GGA.

abc: 6.230 6.230 5.263
angles: 90.00 90.00 90.00
Space group P4/mmm (No. 123)
Symmetry-distinct sites (fractional):
1 K 0.000 0.500 0.000 (multiplicity 2)
2 Zr 0.000 0.000 0.500 (multiplicity 1)
3 Sn 0.500 0.500 0.500 (multiplicity 1)
4 As 0.500 0.500 0.000 (multiplicity 1)

Output
Mass density   2.95 g/cm3
Energy of formation from the pure elements   3.99 eV per formula unit
Magnetization   3.0 Bohr magnetons per cell


Record 4
KSrAs: relaxed, PBE-GGA.

abc: 4.347 4.347 12.391
angles: 90.00 90.00 90.00
Space group I4mm (No. 107)
Symmetry-distinct sites (fractional):
1 K 0.000 0.000 0.000 (multiplicity 2)
2 Sr 0.000 0.000 0.266 (multiplicity 2)
3 As 0.000 0.000 0.718 (multiplicity 2)

Output
Mass density   2.86 g/cm3
Energy of formation from the pure elements   -1.62 eV per formula unit
Magnetization   0.0 Bohr magnetons per cell


Record 5
KSrAs: relaxed, PBE-GGA.

abc: 8.724 5.223 9.155
angles: 90.00 90.00 90.00
Space group Pnma (No. 62)
Symmetry-distinct sites (fractional):
1 K 0.019 0.250 0.170 (multiplicity 4)
2 Sr 0.151 0.250 0.584 (multiplicity 4)
3 As 0.210 0.750 0.399 (multiplicity 4)

Output
Mass density   3.21 g/cm3
Energy of formation from the pure elements   -2.46 eV per formula unit
Magnetization   0.0 Bohr magnetons per cell


Record 6
K2SrAs: relaxed, PBE-GGA.

abc: 4.885 4.885 5.908
angles: 90.00 90.00 90.00
Space group P4/mmm (No. 123)
Symmetry-distinct sites (fractional):
1 K 0.000 0.500 0.000 (multiplicity 2)
2 Sr 0.000 0.000 0.500 (multiplicity 1)
3 As 0.500 0.500 0.500 (multiplicity 1)

Output
Mass density   2.84 g/cm3
Energy of formation from the pure elements   -1.13 eV per formula unit
Magnetization   0.8 Bohr magnetons per cell


Q: Which of these has the lowest mass density?
A: K2ZnSnAs


Q: Which value of magnetization does entry 6 give?
A: 0.8 Bohr magnetons per cell